(1)
The following is a DFT calculation (PBEsol) of a relaxed structure of Sn3IrPb.

It has space group Pm-3m (No. 221), with a = 5.490 Å, b = 5.490 Å, c = 5.490 Å, α = 90.00°, β = 90.00° and γ = 90.00°. Symmetry generates all atoms from Sn at (0.000, 0.000, 0.500), Ir at (0.500, 0.500, 0.500) and Pb at (0.000, 0.000, 0.000).

For the total energy, the calculation gives -3.557 eV per atom. As for the crystal system: cubic. For the density, the calculation gives 7.58 g cm⁻³. The calculation puts the formation energy at 8.81 eV/f.u.

***

(2)
The following is a DFT calculation (PBEsol) of a relaxed structure of SrIrPb3.

It has space group Pm-3m (No. 221), with a = 5.716 Å, b = 5.716 Å, c = 5.716 Å, α = 90.00°, β = 90.00° and γ = 90.00°. Symmetry generates all atoms from Sr at (0.000, 0.000, 0.000), Ir at (0.500, 0.500, 0.500) and Pb at (0.000, 0.000, 0.500).

For the total energy, the calculation gives -2.807 eV per atom. As for the crystal system: cubic. For the density, the calculation gives 8.01 g cm⁻³. The calculation puts the formation energy at 9.63 eV/f.u.

***

(3)
The following is a DFT calculation (PBEsol) of a relaxed structure of TaIrPb.

It has space group I4mm (No. 107), with a = 3.161 Å, b = 3.161 Å, c = 11.778 Å, α = 90.00°, β = 90.00° and γ = 90.00°. Symmetry generates all atoms from Ta at (0.000, 0.000, 0.000), Ir at (0.000, 0.000, 0.613) and Pb at (0.000, 0.000, 0.304).

For the total energy, the calculation gives -8.695 eV per atom. As for the crystal system: tetragonal. For the density, the calculation gives 16.38 g cm⁻³. The calculation puts the formation energy at 0.29 eV/f.u.